No. 1
Compound: La2CoGe
Source: Alexandria
Functional: PBE
Structure: optimized geometry

Properties
**N(E_F)**: 8.88 states/eV per cell
**Magnetic moment**: 0.0 Bohr magnetons per cell
**Formation energy from the elements**: -476 meV per atom
**Space group**: P2_1/m, No. 11

```
8
Lattice="4.492 0.000 0.000 0.000 6.071 0.081 0.000 -2.941 7.493" Properties=species:S:1:pos:R:3 pbc="T T T"
La 3.369 0.096 3.385
La 1.123 3.033 4.189
La 3.369 -1.274 6.923
La 1.123 4.403 0.651
Ge 3.369 1.739 5.993
Ge 1.123 1.390 1.581
Co 1.123 0.760 5.597
Co 3.369 2.369 1.976
```



No. 2
Compound: LaCo4Ge4
Source: Alexandria
Functional: PBE
Structure: optimized geometry

Properties
**N(E_F)**: 15.37 states/eV per cell
**Magnetic moment**: 0.0 Bohr magnetons per cell
**Formation energy from the elements**: -354 meV per atom
**Space group**: I4/m, No. 87

```
18
Lattice="-1.571 4.105 0.451 -5.981 -1.737 -5.015 -4.482 -2.394 6.175" Properties=species:S:1:pos:R:3 pbc="T T T"
Co -9.269 0.894 2.861
Co -4.335 3.184 -0.799
Co -4.949 0.713 -2.091
Co -3.415 -1.667 3.279
Co -7.049 -2.463 -2.119
Co -8.782 -0.933 -0.445
Co -7.085 -0.741 3.701
Co -3.253 0.908 2.056
Ge -6.415 2.465 -1.496
Ge -7.190 1.613 3.558
Ge -4.880 0.085 3.873
Ge -7.624 -2.924 0.068
Ge -3.177 1.193 -0.286
Ge -2.840 -1.206 1.091
Ge -7.154 -0.110 -2.262
Ge -8.857 -1.220 1.897
La 0.000 0.000 0.000
La -6.017 -0.013 0.805
```



No. 3
Compound: La4CoGe
Source: Alexandria
Functional: PBE
Structure: optimized geometry

Properties
**N(E_F)**: 10.70 states/eV per cell
**Magnetic moment**: 0.0 Bohr magnetons per cell
**Formation energy from the elements**: -349 meV per atom
**Space group**: C2/c, No. 15

```
12
Lattice="6.184 -0.360 -1.625 -2.833 7.280 -3.155 -0.265 -0.718 8.390" Properties=species:S:1:pos:R:3 pbc="T T T"
La 5.286 -0.314 4.081
La 3.532 1.054 0.998
La 0.133 2.188 0.433
La 2.953 4.014 3.177
La -2.200 6.516 -0.471
La -0.446 5.148 2.612
La 0.601 4.825 -2.265
La 2.485 1.377 5.875
Ge 0.315 2.200 3.642
Ge 2.771 4.002 -0.032
Co -1.257 7.096 -3.425
Co 4.343 -0.894 7.035
```



No. 4
Compound: La12Co5Ge
Source: Alexandria
Functional: PBE
Structure: optimized geometry

Properties
**N(E_F)**: 15.26 states/eV per cell
**Magnetic moment**: 0.0 Bohr magnetons per cell
**Formation energy from the elements**: -190 meV per atom
**Space group**: Immm, No. 71

```
18
Lattice="8.042 0.032 -3.174 -4.126 7.172 -2.508 -0.103 -0.032 8.645" Properties=species:S:1:pos:R:3 pbc="T T T"
La 3.175 1.281 0.698
La -2.344 5.891 0.210
La 0.638 5.891 2.265
La -2.673 7.054 3.879
La 6.486 0.117 -0.916
La 3.928 4.436 2.796
La 1.057 2.370 3.733
La -0.115 2.736 0.167
La 4.178 2.402 -2.833
La 6.156 1.281 2.753
La -0.365 4.770 5.796
La 2.756 4.802 -0.770
Co 1.390 2.557 -2.017
Co 0.412 6.212 -0.598
Co 2.526 4.647 -3.665
Co 3.401 0.960 3.561
Co 0.000 0.000 0.000
Ge -2.115 3.570 3.068
```



No. 5
Compound: La3Co2Ge7
Source: Alexandria
Functional: PBE
Structure: optimized geometry

Properties
**N(E_F)**: 7.49 states/eV per cell
**Magnetic moment**: 0.0 Bohr magnetons per cell
**Formation energy from the elements**: -644 meV per atom
**Space group**: P2/m, No. 10

```
12
Lattice="-4.198 -0.569 -1.008 0.691 -4.200 -0.508 -2.394 -4.064 12.266" Properties=species:S:1:pos:R:3 pbc="T T T"
Ge -2.946 -5.586 6.014
Ge -1.558 -5.810 9.769
Ge -4.002 -3.992 9.516
Ge 0.000 0.000 0.000
Ge -0.145 -2.455 1.989
Ge -2.956 -3.247 4.736
Ge -1.899 -4.841 1.234
Co -3.448 -5.942 8.306
Co -2.454 -2.891 2.444
La -0.317 -4.923 4.096
La -1.387 -3.342 7.662
La -1.754 -2.384 -0.758
```



No. 6
Compound: La3Co2Ge3
Source: Alexandria
Functional: PBE
Structure: optimized geometry

Properties
**N(E_F)**: 12.24 states/eV per cell
**Magnetic moment**: 0.0 Bohr magnetons per cell
**Formation energy from the elements**: -625 meV per atom
**Space group**: Cmcm, No. 63

```
16
Lattice="-2.949 2.115 2.004 -1.634 -5.845 -0.524 6.596 -2.999 12.874" Properties=species:S:1:pos:R:3 pbc="T T T"
Co 2.715 -4.257 12.776
Co 0.812 -3.392 9.064
Co 1.201 -3.338 5.289
Co -0.701 -2.473 1.577
La 3.537 -2.491 7.835
La -1.524 -4.239 6.518
La -3.459 -3.359 2.742
La 2.773 -5.598 9.989
La 5.472 -3.370 11.611
La -0.760 -1.132 4.364
Ge -2.207 -0.595 1.668
Ge -0.517 -4.087 3.551
Ge 0.565 -1.855 7.078
Ge 2.531 -2.643 10.802
Ge 1.448 -4.874 7.275
Ge 4.220 -6.134 12.685
```



No. 7
Compound: La2CoGe5
Source: Alexandria
Functional: PBE
Structure: optimized geometry

Properties
**N(E_F)**: 6.05 states/eV per cell
**Magnetic moment**: 0.0 Bohr magnetons per cell
**Formation energy from the elements**: -466 meV per atom
**Space group**: I4mm, No. 107

```
8
Lattice="-0.828 3.291 5.082 0.802 -5.025 3.385 4.599 1.727 -4.043" Properties=species:S:1:pos:R:3 pbc="T T T"
Ge 0.092 -1.234 6.134
Ge 1.999 -0.489 4.317
Ge -0.268 1.016 4.618
Ge 0.103 -0.458 2.342
Ge 0.462 -2.708 3.858
Co 4.305 -0.057 4.412
La 2.871 -2.049 1.795
La 2.056 2.109 2.643
```



No. 8
Compound: LaCo2Ge2
Source: Alexandria
Functional: PBE
Structure: optimized geometry

Properties
**N(E_F)**: 4.69 states/eV per cell
**Magnetic moment**: 0.7 Bohr magnetons per cell
**Formation energy from the elements**: -594 meV per atom
**Space group**: I4/mmm, No. 139

```
5
Lattice="-2.030 2.990 -1.962 -2.624 0.287 3.153 5.353 1.860 1.604" Properties=species:S:1:pos:R:3 pbc="T T T"
Co 0.498 3.244 0.119
Co 0.201 1.893 2.676
La 0.000 0.000 0.000
Ge 2.196 2.539 1.596
Ge -1.497 2.598 1.199
```



No. 9
Compound: La12Co5Ge3
Source: Alexandria
Functional: PBE
Structure: optimized geometry

Properties
**N(E_F)**: 95.28 states/eV per cell
**Magnetic moment**: 0.0 Bohr magnetons per cell
**Formation energy from the elements**: -171 meV per atom
**Space group**: Ia-3d, No. 230

```
80
Lattice="14.657 0.000 0.000 -4.886 13.819 0.000 -4.886 -6.910 11.968" Properties=species:S:1:pos:R:3 pbc="T T T"
La 1.788 5.116 8.111
La 8.600 -4.882 10.474
La 10.430 6.973 2.127
La 1.784 -1.811 10.849
La -1.788 -0.782 5.609
La -5.027 9.935 4.490
La -2.584 3.026 7.477
La 6.670 6.846 2.127
La -3.714 11.792 1.494
La -0.658 8.783 1.009
La 1.784 1.874 10.959
La -1.271 -3.735 8.486
La 2.584 -2.376 7.102
La 3.101 8.720 1.118
La 6.157 2.027 1.494
La 7.470 3.884 4.490
La 3.101 5.036 1.009
La -5.544 -0.063 9.840
La 7.470 12.311 0.375
La 0.141 4.534 4.865
La 9.913 -3.026 7.477
La 3.615 5.762 4.975
La 5.544 -1.874 10.959
La 6.058 -1.148 6.993
La 9.117 0.782 5.609
La -4.745 5.401 11.593
La -6.058 3.735 8.486
La 7.983 -1.012 2.502
La -4.231 6.128 6.359
La 3.097 1.794 3.857
La 5.540 5.898 9.465
La -3.097 7.921 9.465
La 0.655 8.703 8.111
La 6.157 10.644 3.482
La 10.943 3.175 3.482
La 9.630 1.508 0.375
La -1.784 0.063 9.840
La -1.271 4.882 10.474
La 4.231 -1.794 3.857
La 5.544 1.811 10.849
La 2.302 9.285 4.865
La 6.674 7.691 6.359
La -0.659 5.099 1.118
La -1.172 8.057 4.975
La -0.655 1.012 2.502
La 1.271 1.148 6.993
La 4.745 2.376 7.102
La -2.584 -5.401 11.593
Ge -1.221 6.046 7.480
Ge -3.664 -2.591 10.472
Ge 1.221 6.910 2.992
Ge 3.664 0.000 8.976
Ge -6.107 6.910 8.976
Ge 10.993 0.000 2.992
Ge 8.550 4.318 1.496
Ge -3.664 2.591 10.472
Ge 1.221 -0.864 4.488
Ge 3.664 7.773 7.480
Ge 8.550 9.501 1.496
Ge 6.107 0.864 4.488
Co 3.664 2.591 1.496
Co -3.664 7.773 4.488
Co 6.107 3.455 8.976
Co 4.886 6.910 0.000
Co 2.443 3.455 5.984
Co 7.329 0.000 0.000
Co -1.221 0.864 7.480
Co 1.221 4.318 10.472
Co -2.443 -3.455 5.984
Co -4.886 3.455 5.984
Co -2.443 6.910 0.000
Co 0.000 0.000 0.000
Co 8.550 -0.864 7.480
Co 3.664 10.364 2.992
Co 6.107 6.046 4.488
Co 4.886 -3.455 5.984
Co 6.107 -4.318 10.472
Co -1.221 3.455 2.992
Co 1.221 -3.455 8.976
Co -1.221 11.228 1.496
```



No. 10
Compound: La8CoGe2
Source: Alexandria
Functional: PBE
Structure: optimized geometry

Properties
**N(E_F)**: 12.10 states/eV per cell
**Magnetic moment**: 0.0 Bohr magnetons per cell
**Formation energy from the elements**: -314 meV per atom
**Space group**: Cm, No. 8

```
11
Lattice="6.490 -0.659 -1.568 -2.958 7.133 -4.077 -0.742 -1.237 8.612" Properties=species:S:1:pos:R:3 pbc="T T T"
La 2.925 2.300 -1.342
La 5.376 -0.418 4.343
La -0.912 5.371 1.610
La 3.485 0.186 1.863
La -0.096 1.458 0.978
La 4.052 4.585 -3.241
La 2.389 3.594 1.954
La -0.413 3.487 4.465
Ge 1.448 0.911 4.055
Ge 0.564 4.248 -1.003
Co 1.488 -0.001 -0.261
```



No. 11
Compound: LaCo3Ge3
Source: Alexandria
Functional: PBE
Structure: optimized geometry

Properties
**Polymorph energy (0 for the lowest one)**: 0.068 eV/atom
**N(E_F)**: 16.52 states/eV per cell
**Magnetic moment**: 0.0 Bohr magnetons per cell
**Formation energy from the elements**: -118 meV per atom
**Space group**: Pm-3n, No. 223

```
14
Lattice="-4.860 -3.601 2.146 3.189 -1.043 5.472 -2.721 5.210 2.578" Properties=species:S:1:pos:R:3 pbc="T T T"
Co -5.006 -0.096 2.899
Co -0.446 3.386 4.670
Co 0.914 0.781 3.380
Co -1.633 -2.061 2.441
Co -0.039 -2.582 5.177
Co -2.576 1.705 1.826
Ge -4.471 2.107 3.007
Ge -2.051 -3.222 4.345
Ge 1.031 1.823 5.393
Ge -0.563 2.344 2.657
Ge 0.379 -1.421 3.272
Ge -3.110 -0.498 1.718
La 0.000 0.000 0.000
La -2.196 0.283 5.098
```



No. 12
Compound: La3Co2Ge2
Source: Alexandria
Functional: PBE
Structure: optimized geometry

Properties
**N(E_F)**: 6.11 states/eV per cell
**Magnetic moment**: 1.4 Bohr magnetons per cell
**Formation energy from the elements**: -537 meV per atom
**Space group**: Immm, No. 71

```
7
Lattice="-1.248 -0.996 3.999 -0.170 -4.225 -1.105 9.078 1.653 0.927" Properties=species:S:1:pos:R:3 pbc="T T T"
Co 0.368 -2.734 1.752
Co 7.293 -0.834 2.068
Ge 5.510 -1.199 3.739
Ge 2.150 -2.368 0.082
La 2.342 -0.837 2.841
La 5.318 -2.731 0.980
La 0.000 0.000 0.000
```



No. 13
Compound: La3CoGe3
Source: Alexandria
Functional: PBE
Structure: optimized geometry

Properties
**N(E_F)**: 14.07 states/eV per cell
**Magnetic moment**: 1.7 Bohr magnetons per cell
**Formation energy from the elements**: -708 meV per atom
**Space group**: C2/m, No. 12

```
14
Lattice="-4.145 0.994 0.784 -1.791 -2.262 5.380 1.890 11.653 7.203" Properties=species:S:1:pos:R:3 pbc="T T T"
Ge -3.806 1.451 1.997
Ge -0.201 5.069 4.495
Ge -0.240 8.934 11.370
Ge 0.978 8.568 6.292
Ge -5.024 1.817 7.075
Ge -3.846 5.316 8.872
La -0.420 10.453 8.493
La -1.630 6.894 6.604
La -3.627 -0.068 4.873
La -2.416 3.491 6.763
La -1.067 2.412 3.283
La -2.980 7.973 10.083
Co -2.573 5.120 3.869
Co -1.474 5.265 9.498
```



No. 14
Compound: La3Co2Ge4
Source: Alexandria
Functional: PBE
Structure: optimized geometry

Properties
**Polymorph energy (0 for the lowest one)**: 0.026 eV/atom
**N(E_F)**: 9.52 states/eV per cell
**Magnetic moment**: 0.6 Bohr magnetons per cell
**Formation energy from the elements**: -663 meV per atom
**Space group**: C2/m, No. 12

```
9
Lattice="4.188 0.000 0.000 -2.094 5.631 -0.876 0.000 -0.103 8.448" Properties=species:S:1:pos:R:3 pbc="T T T"
Ge 2.094 2.522 0.281
Ge 2.094 4.886 4.497
Ge 0.000 0.642 3.075
Ge 0.000 3.007 7.291
Co 0.000 4.410 5.432
Co 2.094 1.118 2.140
La 0.000 3.789 2.309
La 0.000 0.000 0.000
La 2.094 1.739 5.263
```



No. 15
Compound: La2Co2Ge
Source: Alexandria
Functional: PBE
Structure: optimized geometry

Properties
**N(E_F)**: 3.74 states/eV per cell
**Magnetic moment**: 2.5 Bohr magnetons per cell
**Formation energy from the elements**: -144 meV per atom
**Space group**: I4/mmm, No. 139

```
5
Lattice="-0.385 -2.696 -2.144 0.837 -2.166 2.573 -8.487 -3.036 2.540" Properties=species:S:1:pos:R:3 pbc="T T T"
La -6.249 -5.327 2.217
La -1.787 -2.571 0.752
Ge 0.000 0.000 0.000
Co -3.712 -3.816 2.664
Co -4.323 -4.081 0.305
```



No. 16
Compound: La6Co3Ge
Source: Alexandria
Functional: PBE
Structure: optimized geometry

Properties
**N(E_F)**: 12.02 states/eV per cell
**Magnetic moment**: 0.0 Bohr magnetons per cell
**Formation energy from the elements**: -226 meV per atom
**Space group**: P2_1/m, No. 11

```
20
Lattice="-1.879 -1.498 -3.406 9.768 -5.544 -2.952 -6.671 -7.222 6.856" Properties=species:S:1:pos:R:3 pbc="T T T"
Co -2.552 -9.678 1.837
Co -0.483 -2.646 -2.396
Co 1.977 -8.514 -1.174
Co 1.701 -11.618 2.894
Co -0.760 -5.750 1.672
Co 3.770 -4.586 -1.339
Ge 6.765 -7.809 -1.575
Ge -5.547 -6.455 2.072
La 0.003 -3.249 0.151
La -0.821 -10.496 3.792
La 3.920 -6.991 -2.915
La 2.167 -6.246 0.275
La 1.214 -11.015 0.347
La -0.949 -8.017 0.223
La 2.039 -3.767 -3.295
La -3.239 -5.142 0.222
La -2.702 -7.273 3.413
La -5.754 -7.392 5.149
La 4.457 -9.122 0.276
La 6.971 -6.871 -4.651
```



No. 17
Compound: La3Co2Ge
Source: Alexandria
Functional: PBE
Structure: optimized geometry

Properties
**N(E_F)**: 13.05 states/eV per cell
**Magnetic moment**: 0.0 Bohr magnetons per cell
**Formation energy from the elements**: -295 meV per atom
**Space group**: P2_1/c, No. 14

```
24
Lattice="-0.580 4.486 -5.715 -1.979 -6.289 -4.736 -9.162 -0.161 4.042" Properties=species:S:1:pos:R:3 pbc="T T T"
La -8.492 -2.163 -7.286
La -9.030 -0.595 -2.186
La -4.226 1.436 -2.640
La -3.229 0.199 0.877
La -2.925 -0.190 -7.980
La -2.691 -1.369 -4.223
La -4.816 -2.168 -1.478
La -7.495 -3.400 -3.769
La -8.796 -1.774 1.571
La -2.855 -4.572 -6.062
La -6.904 0.204 -4.931
La -8.865 2.608 -0.347
Co -2.412 -1.051 -1.633
Co -7.125 1.616 -2.090
Co -4.596 -3.580 -4.319
Co -4.445 0.102 -5.552
Co -2.084 3.116 -3.583
Co -9.636 -5.080 -2.826
Co -7.275 -2.066 -0.857
Co -9.308 -0.913 -4.776
Ge -9.161 -3.699 -0.873
Ge -6.617 0.155 -0.097
Ge -5.103 -2.119 -6.312
Ge -2.560 1.735 -5.536
```